A plane-wave DFT calculation with GGA-PBE was carried out for an optimized crystal structure of ZnCrW2.

Cell: 3.1683 3.1683 5.9010 Å, 90.00 90.00 90.00°
Space group P4mm (No. 99)
Symmetry-distinct sites (fractional):
Zn (0.0000, 0.0000, 0.0000) x1
Cr (0.5000, 0.5000, 0.2375) x1
W (0.0000, 0.0000, 0.4797) x1
W (0.5000, 0.5000, 0.7363) x1

Values from the calculation:
ΔH_f (0 K): 0.2793 eV/atom
Size of the total moment: 1.69 μB per formula unit
Total energy: -35.687 eV/cell